VASP calculation (GGA-PBE) on a geometry-optimized KNdC2O6 structure.

Summary:
**V**: 13.2 Å³/atom
**Symmetry**: Pmn2_1, No. 31
**Total magnetization**: 0.0 μB per formula unit

Lattice parameters (Å, degrees): 9.706 6.450 8.443 90.00 90.00 90.00
Sites, in units of the cell vectors:
C 0.251 0.038 0.261
C 0.749 0.038 0.261
C 0.500 0.474 0.444
C 0.000 0.594 0.456
C 0.249 0.962 0.761
C 0.751 0.962 0.761
C 0.000 0.526 0.944
C 0.500 0.406 0.956
K 0.258 0.537 0.191
K 0.742 0.537 0.191
K 0.242 0.463 0.691
K 0.758 0.463 0.691
Nd 0.500 0.032 0.452
Nd 0.000 0.037 0.454
Nd 0.000 0.968 0.952
Nd 0.500 0.963 0.954
O 0.000 0.625 0.078
O 0.133 0.031 0.193
O 0.867 0.031 0.193
O 0.361 0.956 0.203
O 0.639 0.956 0.203
O 0.500 0.369 0.312
O 0.256 0.125 0.400
O 0.744 0.125 0.400
O 0.500 0.673 0.441
O 0.116 0.696 0.450
O 0.884 0.696 0.450
O 0.000 0.395 0.471
O 0.500 0.375 0.578
O 0.367 0.969 0.693
O 0.633 0.969 0.693
O 0.139 0.044 0.703
O 0.861 0.044 0.703
O 0.000 0.631 0.812
O 0.244 0.875 0.900
O 0.756 0.875 0.900
O 0.000 0.327 0.941
O 0.384 0.304 0.950
O 0.616 0.304 0.950
O 0.500 0.605 0.971


VASP calculation (GGA-PBE) on a geometry-optimized KPdC2O6 structure.

Summary:
**V**: 12.1 Å³/atom
**Symmetry**: C2/c, No. 15

Lattice parameters (Å, degrees): 6.349 6.349 6.526 104.81 104.81 96.19
Sites, in units of the cell vectors:
C 0.803 0.604 0.216
C 0.396 0.197 0.284
C 0.604 0.803 0.716
C 0.197 0.396 0.784
K 0.900 0.100 0.250
K 0.100 0.900 0.750
O 0.723 0.405 0.086
O 0.270 0.320 0.198
O 0.304 0.991 0.214
O 0.009 0.696 0.286
O 0.680 0.730 0.302
O 0.595 0.277 0.414
O 0.405 0.723 0.586
O 0.320 0.270 0.698
O 0.991 0.304 0.714
O 0.696 0.009 0.786
O 0.730 0.680 0.802
O 0.277 0.595 0.914
Pd 0.337 0.663 0.250
Pd 0.663 0.337 0.750


Number 1: total DFT energy (no corrections) -0.27657 Ha/atom. Number 2: total DFT energy (no corrections) -0.24252 Ha/atom.